RbFePdF6: relaxed, PBE+U.

E_tot   -4.68 eV/atom
M_tot   7.0 μB/cell
Volume   164.5 Å³ per cell

abc: 5.616 5.615 6.026
angles: 89.99 89.98 59.98
Site moments in Bohr magnetons follow the coordinates.
Positions (direct):
F 0.642 0.390 0.685  0.15
F 0.967 0.643 0.685  0.15
F 0.390 0.968 0.685  0.15
F 0.643 0.968 0.315  0.15
Rb 0.000 0.000 0.000  0.00
F 0.968 0.390 0.315  0.15
Pd 0.333 0.333 0.500  1.48
F 0.390 0.643 0.315  0.15
Fe 0.667 0.667 0.500  4.45